# 1
This record from Alexandria via LeMat-Bulk describes a geometry-optimized HfPa2As2N2 structure. The functional is PBE.

Cell and atoms, written as CIF:
```
data_HfPa2As2N2
_chemical_formula_sum 'Hf2 Pa4 As4 N4'
_cell_length_a 11.6562
_cell_length_b 3.8596
_cell_length_c 6.8173
_cell_angle_alpha 90.00
_cell_angle_beta 122.87
_cell_angle_gamma 90.00
_symmetry_space_group_name_H-M 'C 1 2/m 1'
_symmetry_Int_Tables_number 12
loop_
_symmetry_equiv_pos_as_xyz
'x,y,z'
'-x,-y,-z'
'-x,y,-z'
'x,-y,z'
'x+1/2,y+1/2,z'
'-x+1/2,-y+1/2,-z'
'-x+1/2,y+1/2,-z'
'x+1/2,-y+1/2,z'
loop_
_atom_site_label
_atom_site_type_symbol
_atom_site_fract_x
_atom_site_fract_y
_atom_site_fract_z
Hf1 Hf 0.0000 0.0000 0.0000
Pa1 Pa 0.1934 0.0000 0.7371
As1 As 0.0659 0.5000 0.3316
N1 N 0.2084 0.0000 0.0854
```

The total moment comes out at 0.001 Bohr magnetons per cell. The calculation puts the energy relative to the elements, uncorrected at -1.452 eV per atom.

=====

# 2
This record from Alexandria via LeMat-Bulk describes a geometry-optimized RbSBr2 structure. The functional is PBE.

Cell and atoms, written as CIF:
```
data_RbSBr2
_chemical_formula_sum 'Rb4 S4 Br8'
_cell_length_a 6.2646
_cell_length_b 6.2646
_cell_length_c 16.7507
_cell_angle_alpha 90.00
_cell_angle_beta 90.00
_cell_angle_gamma 90.00
_symmetry_space_group_name_H-M 'I -4 2 d'
_symmetry_Int_Tables_number 122
_symmetry_space_group_name_Hall 'I -4 2bw'
loop_
_atom_site_label
_atom_site_type_symbol
_atom_site_fract_x
_atom_site_fract_y
_atom_site_fract_z
Rb1 Rb 0.0000 0.0000 0.0000
S1 S 0.0000 0.0000 0.5000
Br1 Br 0.1205 0.2500 0.6250
```

The value obtained for the energy above the lowest structure with this stoichiometry is 86 meV per atom. The total moment comes out at 0.000 Bohr magnetons per cell. The calculation puts the energy relative to the elements, uncorrected at -0.432 eV per atom.

=====

# 3
This record from Alexandria via LeMat-Bulk describes a geometry-optimized Nb2PtN structure. The functional is PBE.

Cell and atoms, written as CIF:
```
data_Nb2PtN
_chemical_formula_sum 'Nb8 Pt4 N4'
_cell_length_a 5.1675
_cell_length_b 5.1675
_cell_length_c 10.8425
_cell_angle_alpha 90.00
_cell_angle_beta 90.00
_cell_angle_gamma 90.00
_symmetry_space_group_name_H-M 'I -4 2 d'
_symmetry_Int_Tables_number 122
_symmetry_space_group_name_Hall 'I -4 2bw'
loop_
_atom_site_label
_atom_site_type_symbol
_atom_site_fract_x
_atom_site_fract_y
_atom_site_fract_z
Nb1 Nb 0.1616 0.2500 0.1250
Pt1 Pt 0.0000 0.0000 0.5000
N1 N 0.0000 0.0000 0.0000
```

The total moment comes out at 0.000 Bohr magnetons per cell. The calculation puts the energy relative to the elements, uncorrected at -0.334 eV per atom.

=====

# 4
This record from Alexandria via LeMat-Bulk describes a geometry-optimized TiTlO2 structure. The functional is PBE.

Cell and atoms, written as CIF:
```
data_TiTlO2
_chemical_formula_sum 'Ti4 Tl4 O8'
_cell_length_a 5.6578
_cell_length_b 5.6578
_cell_length_c 9.3828
_cell_angle_alpha 90.00
_cell_angle_beta 90.00
_cell_angle_gamma 90.00
_symmetry_space_group_name_H-M 'I -4 2 d'
_symmetry_Int_Tables_number 122
_symmetry_space_group_name_Hall 'I -4 2bw'
loop_
_atom_site_label
_atom_site_type_symbol
_atom_site_fract_x
_atom_site_fract_y
_atom_site_fract_z
Ti1 Ti 0.0000 0.0000 0.0000
Tl1 Tl 0.0000 0.0000 0.5000
O1 O 0.0501 0.2500 0.1250
```

The value obtained for the energy above the lowest structure with this stoichiometry is 49 meV per atom. The total moment comes out at 0.000 Bohr magnetons per cell. The calculation puts the energy relative to the elements, uncorrected at -2.037 eV per atom.

=====

# 5
This record from Alexandria via LeMat-Bulk describes a geometry-optimized Li2YHoTe4 structure. The functional is PBE.

Cell and atoms, written as CIF:
```
data_Li2YHoTe4
_chemical_formula_sum 'Li2 Y1 Ho1 Te4'
_cell_length_a 7.4884
_cell_length_b 4.3383
_cell_length_c 7.5079
_cell_angle_alpha 90.00
_cell_angle_beta 109.50
_cell_angle_gamma 90.00
_symmetry_space_group_name_H-M 'P 1 2/m 1'
_symmetry_Int_Tables_number 10
loop_
_symmetry_equiv_pos_as_xyz
'x,y,z'
'-x,-y,-z'
'-x,y,-z'
'x,-y,z'
loop_
_atom_site_label
_atom_site_type_symbol
_atom_site_fract_x
_atom_site_fract_y
_atom_site_fract_z
Li1 Li 0.0000 0.0000 0.0000
Li2 Li 0.0000 0.5000 0.5000
Y1 Y 0.5000 0.0000 0.5000
Ho1 Ho 0.5000 0.5000 0.0000
Te1 Te 0.2453 0.0000 0.7497
Te2 Te 0.2446 0.5000 0.2473
```

The total moment comes out at 0.000 Bohr magnetons per cell. The calculation puts the energy relative to the elements, uncorrected at -1.297 eV per atom.

=====

# 6
This record from Alexandria via LeMat-Bulk describes a geometry-optimized Mg2MnTc structure. The functional is PBE.

Cell and atoms, written as CIF:
```
data_Mg2MnTc
_chemical_formula_sum 'Mg2 Mn1 Tc1'
_cell_length_a 2.6985
_cell_length_b 4.5732
_cell_length_c 5.3141
_cell_angle_alpha 90.00
_cell_angle_beta 100.28
_cell_angle_gamma 90.00
_symmetry_space_group_name_H-M 'P 1 2/m 1'
_symmetry_Int_Tables_number 10
loop_
_symmetry_equiv_pos_as_xyz
'x,y,z'
'-x,-y,-z'
'-x,y,-z'
'x,-y,z'
loop_
_atom_site_label
_atom_site_type_symbol
_atom_site_fract_x
_atom_site_fract_y
_atom_site_fract_z
Mg1 Mg 0.2393 0.0000 0.2459
Mn1 Mn 0.0000 0.5000 0.5000
Tc1 Tc 0.5000 0.5000 0.0000
```

The value obtained for the energy above the lowest structure with this stoichiometry is 213 meV per atom. The total moment comes out at 3.183 Bohr magnetons per cell.

=====

# 7
This record from Alexandria via LeMat-Bulk describes a geometry-optimized KRu3O structure. The functional is PBE.

Cell and atoms, written as CIF:
```
data_KRu3O
_chemical_formula_sum 'K1 Ru3 O1'
_cell_length_a 4.2436
_cell_length_b 4.2436
_cell_length_c 4.2436
_cell_angle_alpha 90.00
_cell_angle_beta 90.00
_cell_angle_gamma 90.00
_symmetry_space_group_name_H-M 'P m -3 m'
_symmetry_Int_Tables_number 221
_symmetry_space_group_name_Hall '-P 4 2 3'
loop_
_atom_site_label
_atom_site_type_symbol
_atom_site_fract_x
_atom_site_fract_y
_atom_site_fract_z
K1 K 0.0000 0.0000 0.0000
Ru1 Ru 0.0000 0.5000 0.5000
O1 O 0.5000 0.5000 0.5000
```

The value obtained for the energy above the lowest structure with this stoichiometry is 0 meV per atom. The total moment comes out at 0.000 Bohr magnetons per cell. The calculation puts the energy relative to the elements, uncorrected at 0.929 eV per atom.

=====

# 8
This record from Alexandria via LeMat-Bulk describes a geometry-optimized Ca2TaOs structure. The functional is PBE.

Cell and atoms, written as CIF:
```
data_Ca2TaOs
_chemical_formula_sum 'Ca2 Ta1 Os1'
_cell_length_a 3.3449
_cell_length_b 3.3439
_cell_length_c 9.1865
_cell_angle_alpha 90.00
_cell_angle_beta 90.11
_cell_angle_gamma 90.00
_symmetry_space_group_name_H-M 'P 1 m 1'
_symmetry_Int_Tables_number 6
loop_
_symmetry_equiv_pos_as_xyz
'x,y,z'
'x,-y,z'
loop_
_atom_site_label
_atom_site_type_symbol
_atom_site_fract_x
_atom_site_fract_y
_atom_site_fract_z
Ca1 Ca 0.0000 0.0000 0.0000
Ca2 Ca 0.4968 0.5000 0.3760
Ta1 Ta 0.9979 0.0000 0.6431
Os1 Os 0.4986 0.5000 0.7679
```

The value obtained for the energy above the lowest structure with this stoichiometry is 0 meV per atom. The total moment comes out at 0.000 Bohr magnetons per cell.

=====

# 9
This record from Alexandria via LeMat-Bulk describes a geometry-optimized In3TeBr structure. The functional is PBE.

Cell and atoms, written as CIF:
```
data_In3TeBr
_chemical_formula_sum 'In3 Te1 Br1'
_cell_length_a 5.9557
_cell_length_b 5.9557
_cell_length_c 5.9557
_cell_angle_alpha 90.00
_cell_angle_beta 90.00
_cell_angle_gamma 90.00
_symmetry_space_group_name_H-M 'P m -3 m'
_symmetry_Int_Tables_number 221
_symmetry_space_group_name_Hall '-P 4 2 3'
loop_
_atom_site_label
_atom_site_type_symbol
_atom_site_fract_x
_atom_site_fract_y
_atom_site_fract_z
In1 In 0.0000 0.0000 0.5000
Te1 Te 0.5000 0.5000 0.5000
Br1 Br 0.0000 0.0000 0.0000
```

The value obtained for the energy above the lowest structure with this stoichiometry is 403 meV per atom. The total moment comes out at 0.000 Bohr magnetons per cell. The calculation puts the energy relative to the elements, uncorrected at 0.066 eV per atom.

=====

# 10
This record from Alexandria via LeMat-Bulk describes a geometry-optimized Ba2Si2Pb structure. The functional is PBE.

Cell and atoms, written as CIF:
```
data_Ba2Si2Pb
_chemical_formula_sum 'Ba4 Si4 Pb2'
_cell_length_a 7.9734
_cell_length_b 7.9734
_cell_length_c 5.0366
_cell_angle_alpha 90.00
_cell_angle_beta 90.00
_cell_angle_gamma 90.00
_symmetry_space_group_name_H-M 'P 4/m b m'
_symmetry_Int_Tables_number 127
_symmetry_space_group_name_Hall '-P 4 2ab'
loop_
_atom_site_label
_atom_site_type_symbol
_atom_site_fract_x
_atom_site_fract_y
_atom_site_fract_z
Ba1 Ba 0.1835 0.3165 0.0000
Si1 Si 0.1037 0.6037 0.5000
Pb1 Pb 0.0000 0.0000 0.5000
```

The value obtained for the energy above the lowest structure with this stoichiometry is 0 meV per atom. The total moment comes out at 0.000 Bohr magnetons per cell. The calculation puts the energy relative to the elements, uncorrected at -0.334 eV per atom.

=====

> Number 2 is which compound?

RbSBr2

=====

> What is the total moment in the ninth record?

0.000 Bohr magnetons per cell

=====

Please write out number 2 again, unchanged.
This record from Alexandria via LeMat-Bulk describes a geometry-optimized RbSBr2 structure. The functional is PBE.

Cell and atoms, written as CIF:
```
data_RbSBr2
_chemical_formula_sum 'Rb4 S4 Br8'
_cell_length_a 6.2646
_cell_length_b 6.2646
_cell_length_c 16.7507
_cell_angle_alpha 90.00
_cell_angle_beta 90.00
_cell_angle_gamma 90.00
_symmetry_space_group_name_H-M 'I -4 2 d'
_symmetry_Int_Tables_number 122
_symmetry_space_group_name_Hall 'I -4 2bw'
loop_
_atom_site_label
_atom_site_type_symbol
_atom_site_fract_x
_atom_site_fract_y
_atom_site_fract_z
Rb1 Rb 0.0000 0.0000 0.0000
S1 S 0.0000 0.0000 0.5000
Br1 Br 0.1205 0.2500 0.6250
```

The value obtained for the energy above the lowest structure with this stoichiometry is 86 meV per atom. The total moment comes out at 0.000 Bohr magnetons per cell. The calculation puts the energy relative to the elements, uncorrected at -0.432 eV per atom.